[1]
# LaTlP, optimized geometry, DFT PBE-GGA
data_LaTlP
_chemical_formula_sum 'La2 Tl2 P2'
_space_group_name_H-M_alt 'I 4 m m'
_space_group_IT_number 107
_space_group_name_Hall 'I 4 -2'
_cell_length_a 4.131
_cell_length_b 4.131
_cell_length_c 12.191
_cell_angle_alpha 90.00
_cell_angle_beta 90.00
_cell_angle_gamma 90.00
loop_
_atom_site_label
_atom_site_fract_x
_atom_site_fract_y
_atom_site_fract_z
La1 0.000 0.000 0.000
Tl1 0.000 0.000 0.273
P1 0.000 0.000 0.495
# ρ = 5.974 g/cm3
# DFT formation energy = -629 meV per atom
# Magnetization = 0.000 μB per atom
# Polymorph energy (0 for the lowest one) = 0.140 eV per atom
# Uncorrected energy = -4.864 eV per atom

[2]
# LaTlP2, optimized geometry, DFT PBE-GGA
data_LaTlP2
_chemical_formula_sum 'La2 Tl2 P4'
_space_group_name_H-M_alt 'I 4/m m m'
_space_group_IT_number 139
_space_group_name_Hall '-I 4 2'
_cell_length_a 4.724
_cell_length_b 4.724
_cell_length_c 8.325
_cell_angle_alpha 90.00
_cell_angle_beta 90.00
_cell_angle_gamma 90.00
loop_
_atom_site_label
_atom_site_fract_x
_atom_site_fract_y
_atom_site_fract_z
La1 0.000 0.000 0.000
Tl1 0.000 0.000 0.500
P1 0.000 0.500 0.250
# ρ = 7.245 g/cm3
# DFT formation energy = -372 meV per atom
# Magnetization = 0.000 μB per atom
# Polymorph energy (0 for the lowest one) = 0.271 eV per atom
# Uncorrected energy = -4.901 eV per atom